[1]
Crystalline Re2Mo at its relaxed geometry. Source: Alexandria, functional GGA-PBE.

Results
ΔE to the lowest computed polymorph ... 30 meV per atom
Symmetry ... P6_3/mmc, No. 194
Formation enthalpy at 0 K ... 146 meV per atom

Unit cell a=5.136 b=5.136 c=8.379 alpha=90.00 beta=90.00 gamma=120.00
Element x y z (fractional)
1 Re 0.000 0.000 0.000
2 Re 0.000 0.000 0.500
3 Re 0.172 0.344 0.250
4 Re 0.172 0.828 0.250
5 Re 0.344 0.172 0.750
6 Re 0.656 0.828 0.250
7 Re 0.828 0.172 0.750
8 Re 0.828 0.656 0.750
9 Mo 0.333 0.667 0.567
10 Mo 0.333 0.667 0.933
11 Mo 0.667 0.333 0.067
12 Mo 0.667 0.333 0.433

=====

[2]
Crystalline YGa2Au6 at its relaxed geometry. Source: Alexandria, functional GGA-PBE.

Results
ΔE to the lowest computed polymorph ... 44 meV per atom
Symmetry ... P6/mmm, No. 191
Formation enthalpy at 0 K ... -291 meV per atom

Unit cell a=5.626 b=5.626 c=7.232 alpha=90.00 beta=90.00 gamma=120.00
Element x y z (fractional)
1 Y 0.000 0.000 0.000
2 Ga 0.333 0.667 0.500
3 Ga 0.667 0.333 0.500
4 Au 0.000 0.500 0.202
5 Au 0.000 0.500 0.798
6 Au 0.500 0.000 0.202
7 Au 0.500 0.000 0.798
8 Au 0.500 0.500 0.202
9 Au 0.500 0.500 0.798

=====

[3]
Crystalline In2HgF8 at its relaxed geometry. Source: Alexandria, functional GGA-PBE.

Results
Symmetry ... C2/m, No. 12
Formation energy without anion corrections ... -2.13 eV/atom

Unit cell a=5.881 b=5.881 c=4.371 alpha=97.09 beta=97.09 gamma=110.16
Element x y z (fractional)
1 In 0.183 0.817 0.000
2 In 0.817 0.183 0.000
3 Hg 0.500 0.500 0.500
4 F 0.112 0.112 0.285
5 F 0.166 0.439 0.910
6 F 0.268 0.732 0.500
7 F 0.439 0.166 0.910
8 F 0.561 0.834 0.090
9 F 0.732 0.268 0.500
10 F 0.834 0.561 0.090
11 F 0.888 0.888 0.715

=====

[4]
Crystalline AsSF2 at its relaxed geometry. Source: Alexandria, functional GGA-PBE.

Results
ΔE to the lowest computed polymorph ... 439 meV per atom
Symmetry ... R-3m, No. 166
Formation energy without anion corrections ... -0.63 eV/atom

Unit cell a=9.522 b=9.522 c=9.522 alpha=16.92 beta=16.92 gamma=16.92
Element x y z (fractional)
1 As 0.000 0.000 0.000
2 S 0.500 0.500 0.500
3 F 0.065 0.065 0.065
4 F 0.935 0.935 0.935

=====

[5]
Crystalline MnHgCl at its relaxed geometry. Source: Alexandria, functional GGA-PBE.

Results
ΔE to the lowest computed polymorph ... 88 meV per atom
Symmetry ... I4mm, No. 107
Formation energy without anion corrections ... -0.12 eV/atom

Unit cell a=6.816 b=6.816 c=6.816 alpha=152.47 beta=152.47 gamma=39.33
Element x y z (fractional)
1 Mn 0.000 0.000 0.000
2 Hg 0.646 0.646 0.000
3 Cl 0.395 0.395 0.000

=====

[6]
Crystalline ZnIn14Sn at its relaxed geometry. Source: Alexandria, functional GGA-PBE.

Results
Symmetry ... P4/mmm, No. 123
Formation enthalpy at 0 K ... 36 meV per atom

Unit cell a=7.085 b=7.085 c=8.485 alpha=90.00 beta=90.00 gamma=90.00
Element x y z (fractional)
1 Zn 0.000 0.000 0.000
2 In 0.000 0.000 0.500
3 In 0.000 0.500 0.000
4 In 0.000 0.500 0.500
5 In 0.243 0.243 0.244
6 In 0.243 0.243 0.756
7 In 0.243 0.757 0.244
8 In 0.243 0.757 0.756
9 In 0.500 0.000 0.000
10 In 0.500 0.000 0.500
11 In 0.500 0.500 0.500
12 In 0.757 0.243 0.244
13 In 0.757 0.243 0.756
14 In 0.757 0.757 0.244
15 In 0.757 0.757 0.756
16 Sn 0.500 0.500 0.000

=====

[7]
Crystalline AlMo4S8 at its relaxed geometry. Source: Alexandria, functional GGA-PBE.

Results
ΔE to the lowest computed polymorph ... 0 meV per atom
Symmetry ... R3m, No. 160
Formation energy without anion corrections ... -0.84 eV/atom

Unit cell a=6.905 b=6.905 c=6.905 alpha=60.67 beta=60.67 gamma=60.67
Element x y z (fractional)
1 Al 0.000 0.000 0.000
2 Mo 0.397 0.397 0.810
3 Mo 0.397 0.810 0.397
4 Mo 0.402 0.402 0.402
5 Mo 0.810 0.397 0.397
6 S 0.099 0.637 0.637
7 S 0.136 0.136 0.136
8 S 0.137 0.137 0.597
9 S 0.137 0.597 0.137
10 S 0.597 0.137 0.137
11 S 0.633 0.633 0.633
12 S 0.637 0.099 0.637
13 S 0.637 0.637 0.099

=====

[8]
Crystalline TiAl2ZnHg at its relaxed geometry. Source: Alexandria, functional GGA-PBE.

Results
Symmetry ... P4/mmm, No. 123
Formation enthalpy at 0 K ... 871 meV per atom

Unit cell a=4.830 b=4.830 c=5.285 alpha=90.00 beta=90.00 gamma=90.00
Element x y z (fractional)
1 Ti 0.000 0.000 0.000
2 Al 0.000 0.500 0.500
3 Al 0.500 0.000 0.500
4 Zn 0.500 0.500 0.000
5 Hg 0.000 0.000 0.500

=====

Values for DOS at the Fermi energy, states/eV per cell, ordered as above
12.7 2.1 0.0 1.2 1.8 8.8 7.2 3.4
Values for V, Å³ per atom, ordered as above
15.954 22.023 12.600 15.946 22.509 26.623 18.177 24.661
Values for total energy, eV per atom, ordered as above
-11.764 -3.867 -4.020 -3.758 -3.897 -2.690 -7.000 -2.520